# SmRe2 | Alexandria | PBE | relaxed
data_SmRe2
_symmetry_space_group_name_H-M 'P 1'
_symmetry_Int_Tables_number 1
_cell_length_a 5.476
_cell_length_b 5.476
_cell_length_c 5.476
_cell_angle_alpha 60.00
_cell_angle_beta 60.00
_cell_angle_gamma 60.00
loop_
_symmetry_equiv_pos_as_xyz
'x,y,z'
loop_
_atom_site_label
_atom_site_type_symbol
_atom_site_fract_x
_atom_site_fract_y
_atom_site_fract_z
_atom_site_occupancy
Re1 Re 0.625 0.625 0.625 1
Re2 Re 0.125 0.625 0.625 1
Re3 Re 0.625 0.625 0.125 1
Re4 Re 0.625 0.125 0.625 1
Sm1 Sm 0.250 0.250 0.250 1
Sm2 Sm 0.000 0.000 0.000 1
# * energy relative to the elements: -10 kJ/mol of formula units
# * N(E_F): 4.14 states/eV/f.u.
# * space-group type: Fd-3m (227)
# * electronic total energy: -59.44 eV for the cell shown